DFT (PBE) results for crystalline SmThCd14 at its relaxed geometry.

The structure in POSCAR format:
```
SmThCd14
1.0
-2.094 5.980 2.215
-5.440 -0.459 -3.906
-4.197 -3.801 6.293
Sm Th Cd
1 1 14
direct
0.375 0.375 0.500 Sm
0.875 0.875 0.500 Th
0.875 0.875 0.000 Cd
0.375 0.375 0.000 Cd
0.875 0.375 0.500 Cd
0.875 0.375 0.000 Cd
0.375 0.875 0.500 Cd
0.375 0.875 0.000 Cd
0.623 0.127 0.236 Cd
0.623 0.127 0.764 Cd
0.127 0.623 0.236 Cd
0.127 0.623 0.764 Cd
0.623 0.623 0.236 Cd
0.623 0.623 0.764 Cd
0.127 0.127 0.236 Cd
0.127 0.127 0.764 Cd
```

Computed properties:
As for the energy of formation: -0.1003 eV per atom. Its raw total energy is -1.66 eV/atom. As for the space group: P4/mmm (123).

=====

DFT (PBE) results for crystalline Y3Ho4Pt4 at its relaxed geometry.

The structure in POSCAR format:
```
Y3Ho4Pt4
1.0
4.379 0.000 0.000
0.000 8.082 0.000
-2.189 -4.041 7.715
Y Ho Pt
3 4 4
direct
0.103 0.103 0.206 Y
0.897 0.897 0.794 Y
0.000 0.500 0.000 Y
0.331 0.127 0.662 Ho
0.669 0.465 0.338 Ho
0.669 0.873 0.338 Ho
0.331 0.535 0.662 Ho
0.218 0.718 0.437 Pt
0.782 0.282 0.563 Pt
0.500 0.818 0.000 Pt
0.500 0.182 0.000 Pt
```

Computed properties:
As for the energy of formation: -0.9090 eV per atom. Its raw total energy is -6.53 eV/atom. As for the space group: Immm (71).

=====

DFT (PBE) results for crystalline LiAcTbSc at its relaxed geometry.

The structure in POSCAR format:
```
LiAcTbSc
1.0
5.562 0.000 0.000
2.781 4.817 0.000
2.781 1.606 4.542
Sc Ac Tb Li
1 1 1 1
direct
0.500 0.500 0.500 Sc
0.250 0.250 0.250 Ac
0.750 0.750 0.750 Tb
0.000 0.000 0.000 Li
```

Computed properties:
As for the energy of formation: 0.1616 eV per atom. Its raw total energy is -4.08 eV/atom. As for the space group: F-43m (216).

=====

DFT (PBE) results for crystalline Mg3Hg at its relaxed geometry.

The structure in POSCAR format:
```
Mg3Hg
1.0
10.103 -0.010 -0.007
6.672 7.587 -0.007
6.672 3.013 6.963
Hg Mg
6 18
direct
0.000 0.674 0.326 Hg
0.326 0.000 0.674 Hg
0.674 0.326 0.000 Hg
0.500 0.820 0.180 Hg
0.180 0.500 0.820 Hg
0.820 0.180 0.500 Hg
0.866 0.866 0.866 Mg
0.134 0.134 0.134 Mg
0.443 0.443 0.443 Mg
0.557 0.557 0.557 Mg
0.680 0.680 0.680 Mg
0.320 0.320 0.320 Mg
0.333 0.752 0.084 Mg
0.084 0.333 0.752 Mg
0.752 0.084 0.333 Mg
0.248 0.667 0.916 Mg
0.667 0.916 0.248 Mg
0.916 0.248 0.667 Mg
0.771 0.527 0.029 Mg
0.029 0.771 0.527 Mg
0.527 0.029 0.771 Mg
0.473 0.229 0.971 Mg
0.229 0.971 0.473 Mg
0.971 0.473 0.229 Mg
```

Computed properties:
As for the energy of formation: -0.1271 eV per atom. Its raw total energy is -1.40 eV/atom. As for the space group: R32 (155).